## Na2TlInHg (GGA-PBE)

Data for an optimized crystal structure of Na2TlInHg.

- SG: No. 11
- Mass density: 7.069 Mg/m³
- Energy of formation: -152 meV/atom
- Final energy: -1.761 eV per atom

a = 5.2233 Å, b = 8.1342 Å, c = 6.4261 Å
α = 103.21°, β = 90.00°, γ = 90.00°
Positions (direct):
1 Na 0.2500 0.9597 0.3210
2 Na 0.7500 0.4536 0.8444
3 Na 0.2500 0.5464 0.1556
4 Na 0.7500 0.0403 0.6790
5 Hg 0.2500 0.1639 0.9392
6 Hg 0.7500 0.8361 0.0608
7 Tl 0.7500 0.6479 0.4498
8 Tl 0.2500 0.3521 0.5502
9 In 0.2500 0.7662 0.7634
10 In 0.7500 0.2338 0.2366